[1]
The following is a DFT calculation (PBE-GGA) of Li3CrMo2N6 after structural relaxation.

Values from the calculation:
raw total energy = -7.694 eV per atom
size of the total moment = 2.5 μB/cell
energy relative to the elements, uncorrected = -445 meV per atom
DOS(E_F) = 3.38 states/eV per cell
crystal system = monoclinic
SG = No. 12

a = 5.0965 Å, b = 5.0965 Å, c = 5.3774 Å
α = 99.08°, β = 99.08°, γ = 119.99°
Closest atoms and distances in Å follow each position.
Atoms (fractional coordinates):
Cr (0.0000, 0.0000, 0.0000)  6 N 2.04
Mo (0.6668, 0.3332, 0.0000)  6 N 2.05
Mo (0.3332, 0.6668, 0.0000)  6 N 2.05
N (0.9253, 0.5945, 0.7755)  1 Cr 2.04, 2 Mo 2.05, 3 Li 2.20-2.23
N (0.7440, 0.7440, 0.2242)  1 Cr 2.04, 2 Mo 2.05, 3 Li 2.19-2.22
N (0.0747, 0.4055, 0.2245)  1 Cr 2.04, 2 Mo 2.05, 3 Li 2.20-2.23
N (0.2560, 0.2560, 0.7758)  1 Cr 2.04, 2 Mo 2.05, 3 Li 2.19-2.22
N (0.4055, 0.0747, 0.2245)  1 Cr 2.04, 2 Mo 2.05, 3 Li 2.20-2.23
N (0.5945, 0.9253, 0.7755)  1 Cr 2.04, 2 Mo 2.05, 3 Li 2.20-2.23
Li (0.8351, 0.1649, 0.5000)  6 N 2.19-2.23
Li (0.5000, 0.5000, 0.5000)  6 N 2.20-2.22
Li (0.1649, 0.8351, 0.5000)  6 N 2.19-2.23

---

[2]
The following is a DFT calculation (PBE-GGA) of Li4CrMo3N8 after structural relaxation.

Values from the calculation:
raw total energy = -7.716 eV per atom
size of the total moment = 2.7 μB/cell
energy relative to the elements, uncorrected = -443 meV per atom
DOS(E_F) = 4.83 states/eV per cell
crystal system = trigonal
SG = No. 166

a = 5.8986 Å, b = 6.1577 Å, c = 5.8990 Å
α = 118.62°, β = 120.00°, γ = 90.00°
Closest atoms and distances in Å follow each position.
Atoms (fractional coordinates):
N (0.2412, 0.7241, 0.9829)  1 Cr 2.05, 2 Mo 2.06, 3 Li 2.21-2.22
N (0.7588, 0.2759, 0.0171)  1 Cr 2.05, 2 Mo 2.06, 3 Li 2.21-2.22
N (0.7588, 0.2759, 0.5176)  1 Cr 2.05, 2 Mo 2.06, 3 Li 2.21-2.22
N (0.7417, 0.7241, 0.9829)  1 Cr 2.05, 2 Mo 2.06, 3 Li 2.21-2.22
N (0.7444, 0.7331, 0.4887)  3 Mo 2.08, 3 Li 2.19
N (0.2412, 0.7241, 0.4824)  1 Cr 2.05, 2 Mo 2.06, 3 Li 2.21-2.22
N (0.2556, 0.2669, 0.5113)  3 Mo 2.08, 3 Li 2.19
N (0.2583, 0.2759, 0.0171)  1 Cr 2.05, 2 Mo 2.06, 3 Li 2.21-2.22
Mo (0.5000, 0.5000, 0.5000)  6 N 2.06-2.08
Mo (0.0000, 0.5000, 0.5000)  6 N 2.06-2.08
Mo (0.5000, 0.5000, 0.0000)  6 N 2.06-2.08
Li (0.5000, 0.0000, 0.5000)  6 N 2.19-2.21
Li (0.0000, 0.0000, 0.0000)  6 N 2.19-2.21
Li (0.5000, 0.0000, 0.0000)  6 N 2.22
Li (0.0000, 0.0000, 0.5000)  6 N 2.19-2.21
Cr (0.0000, 0.5000, 0.0000)  6 N 2.05

---

[3]
The following is a DFT calculation (PBE-GGA) of LiCrNi2Mo after structural relaxation.

Values from the calculation:
raw total energy = -5.989 eV per atom
size of the total moment = 0.9 μB/cell
DOS(E_F) = 3.31 states/eV per cell
crystal system = tetragonal
SG = No. 123

a = 3.8492 Å, b = 4.1343 Å, c = 3.8492 Å
α = 90.00°, β = 90.00°, γ = 90.00°
Closest atoms and distances in Å follow each position.
Atoms (fractional coordinates):
Ni (0.0000, 0.0000, 0.5000)  2 Li 1.92
Ni (0.5000, 0.0000, 0.0000)  2 Li 1.92
Cr (0.0000, 0.5000, 0.0000)  2 Li 2.07
Mo (0.5000, 0.5000, 0.5000)  4 Cr 2.72, 8 Ni 2.82
Li (0.0000, 0.0000, 0.0000)  4 Ni 1.92, 2 Cr 2.07

---

What did the second record say?
The following is a DFT calculation (PBE-GGA) of Li4CrMo3N8 after structural relaxation.

Values from the calculation:
raw total energy = -7.716 eV per atom
size of the total moment = 2.7 μB/cell
energy relative to the elements, uncorrected = -443 meV per atom
DOS(E_F) = 4.83 states/eV per cell
crystal system = trigonal
SG = No. 166

a = 5.8986 Å, b = 6.1577 Å, c = 5.8990 Å
α = 118.62°, β = 120.00°, γ = 90.00°
Closest atoms and distances in Å follow each position.
Atoms (fractional coordinates):
N (0.2412, 0.7241, 0.9829)  1 Cr 2.05, 2 Mo 2.06, 3 Li 2.21-2.22
N (0.7588, 0.2759, 0.0171)  1 Cr 2.05, 2 Mo 2.06, 3 Li 2.21-2.22
N (0.7588, 0.2759, 0.5176)  1 Cr 2.05, 2 Mo 2.06, 3 Li 2.21-2.22
N (0.7417, 0.7241, 0.9829)  1 Cr 2.05, 2 Mo 2.06, 3 Li 2.21-2.22
N (0.7444, 0.7331, 0.4887)  3 Mo 2.08, 3 Li 2.19
N (0.2412, 0.7241, 0.4824)  1 Cr 2.05, 2 Mo 2.06, 3 Li 2.21-2.22
N (0.2556, 0.2669, 0.5113)  3 Mo 2.08, 3 Li 2.19
N (0.2583, 0.2759, 0.0171)  1 Cr 2.05, 2 Mo 2.06, 3 Li 2.21-2.22
Mo (0.5000, 0.5000, 0.5000)  6 N 2.06-2.08
Mo (0.0000, 0.5000, 0.5000)  6 N 2.06-2.08
Mo (0.5000, 0.5000, 0.0000)  6 N 2.06-2.08
Li (0.5000, 0.0000, 0.5000)  6 N 2.19-2.21
Li (0.0000, 0.0000, 0.0000)  6 N 2.19-2.21
Li (0.5000, 0.0000, 0.0000)  6 N 2.22
Li (0.0000, 0.0000, 0.5000)  6 N 2.19-2.21
Cr (0.0000, 0.5000, 0.0000)  6 N 2.05

---

> DOS(E_F) of number 3 (LiCrNi2Mo)?

3.31 states/eV per cell